# 1
This record from Alexandria via LeMat-Bulk describes a geometry-optimized NaGa3Au structure. The functional is GGA-PBEsol.

The value obtained for the formation enthalpy at 0 K is 0.14 eV/atom. The total energy is -2.926 eV/atom. As for the calculated density: 5.71 g cm⁻³.

It has space group Pm-3m (No. 221), with a = 4.9981 Å, b = 4.9981 Å, c = 4.9981 Å, α = 90.00°, β = 90.00° and γ = 90.00°. Symmetry generates all atoms from Na at (0.0000, 0.0000, 0.0000), Ga at (0.0000, 0.5000, 0.5000) and Au at (0.5000, 0.5000, 0.5000).

# 2
This record from Alexandria via LeMat-Bulk describes a geometry-optimized Zr4Zn3 structure. The functional is GGA-PBEsol.

The value obtained for the formation enthalpy at 0 K is -0.25 eV/atom. The energy relative to the lowest polymorph listed for this composition comes out at 0 meV/atom. The total energy is -6.125 eV/atom. As for the calculated density: 7.35 g cm⁻³.

It has space group P6/mmm (No. 191), with a = 5.2254 Å, b = 5.2254 Å, c = 5.3586 Å, α = 90.00°, β = 90.00° and γ = 120.00°. Symmetry generates all atoms from Zr at (0.0000, 0.0000, 0.2453), Zr at (0.3333, 0.6667, 0.0000) and Zn at (0.0000, 0.5000, 0.5000).

# 3
This record from Alexandria via LeMat-Bulk describes a geometry-optimized BaCoCl structure. The functional is GGA-PBEsol.

The energy relative to the lowest polymorph listed for this composition comes out at 0 meV/atom. The formation energy without anion corrections comes out at 52 meV per atom. The total energy is -3.913 eV/atom. As for the calculated density: 4.25 g cm⁻³.

It has space group F-43m (No. 216), with a = 7.1297 Å, b = 7.1297 Å, c = 7.1297 Å, α = 90.00°, β = 90.00° and γ = 90.00°. Symmetry generates all atoms from Ba at (0.0000, 0.0000, 0.0000), Co at (0.0000, 0.0000, 0.5000) and Cl at (0.2500, 0.2500, 0.7500).

# 4
This record from Alexandria via LeMat-Bulk describes a geometry-optimized PrMg12 structure. The functional is GGA-PBEsol.

The value obtained for the formation enthalpy at 0 K is -0.05 eV/atom. The total energy is -2.029 eV/atom. As for the calculated density: 2.34 g cm⁻³.

It has space group I4/mmm (No. 139), with a = 10.2576 Å, b = 10.2576 Å, c = 5.8349 Å, α = 90.00°, β = 90.00° and γ = 90.00°. Symmetry generates all atoms from Pr at (0.0000, 0.0000, 0.0000), Mg at (0.0000, 0.2117, 0.5000), Mg at (0.0000, 0.3517, 0.0000) and Mg at (0.2500, 0.2500, 0.2500).

What is the formula in the third record?
BaCoCl